A plane-wave DFT calculation with PBE was carried out for a geometry-optimized Ga3Ag structure.

Structure (CIF):
```
data_Ga3Ag
_chemical_formula_sum 'Ga3 Ag1'
_cell_length_a 2.8721
_cell_length_b 5.2310
_cell_length_c 5.7630
_cell_angle_alpha 116.99
_cell_angle_beta 104.43
_cell_angle_gamma 90.00
_space_group_name_H-M_alt 'P 1'
_space_group_IT_number 1
_space_group_name_Hall 'P 1'
loop_
_atom_site_label
_atom_site_type_symbol
_atom_site_fract_x
_atom_site_fract_y
_atom_site_fract_z
_atom_site_occupancy
Ga1 Ga 0.2538 0.5998 0.5075 1
Ga2 Ga 0.5000 0.4873 0.0000 1
Ga3 Ga 0.7462 0.0923 0.4925 1
Ag1 Ag 0.0000 0.9872 0.0000 1
```

Values from the calculation:
- density of states at the Fermi level (states/eV/cell) = 1.3
- E_tot (eV/atom) = -2.939



A plane-wave DFT calculation with PBE was carried out for a geometry-optimized Ga5Ag13 structure.

Structure (CIF):
```
data_Ga5Ag13
_chemical_formula_sum 'Ga5 Ag13'
_cell_length_a 2.9153
_cell_length_b 7.8537
_cell_length_c 13.7125
_cell_angle_alpha 89.73
_cell_angle_beta 89.99
_cell_angle_gamma 90.01
_space_group_name_H-M_alt 'P 1'
_space_group_IT_number 1
_space_group_name_Hall 'P 1'
loop_
_atom_site_label
_atom_site_type_symbol
_atom_site_fract_x
_atom_site_fract_y
_atom_site_fract_z
_atom_site_occupancy
Ga1 Ga 0.7745 0.9999 0.3333 1
Ga2 Ga 0.2772 0.9968 0.6658 1
Ga3 Ga 0.2765 0.5018 0.1656 1
Ga4 Ga 0.7770 0.0004 0.0002 1
Ga5 Ga 0.7791 0.4983 0.5011 1
Ag1 Ag 0.2783 0.6851 0.9880 1
Ag2 Ag 0.2779 0.1792 0.4845 1
Ag3 Ag 0.2788 0.6385 0.6630 1
Ag4 Ag 0.2773 0.1376 0.1690 1
Ag5 Ag 0.2786 0.1794 0.8489 1
Ag6 Ag 0.2779 0.6807 0.3473 1
Ag7 Ag 0.7782 0.8471 0.5124 1
Ag8 Ag 0.7775 0.3456 0.0184 1
Ag9 Ag 0.7781 0.8546 0.8182 1
Ag10 Ag 0.7776 0.3491 0.3193 1
Ag11 Ag 0.7780 0.2988 0.6643 1
Ag12 Ag 0.7778 0.8061 0.1677 1
Ag13 Ag 0.7797 0.5009 0.8332 1
```

Values from the calculation:
- density of states at the Fermi level (states/eV/cell) = 6.1
- E_tot (eV/atom) = -2.922



A plane-wave DFT calculation with PBE was carried out for a geometry-optimized Ga6Ag structure.

Structure (CIF):
```
data_Ga6Ag
_chemical_formula_sum 'Ga6 Ag1'
_cell_length_a 6.1794
_cell_length_b 6.1794
_cell_length_c 6.1794
_cell_angle_alpha 109.47
_cell_angle_beta 109.47
_cell_angle_gamma 109.47
_space_group_name_H-M_alt 'P 1'
_space_group_IT_number 1
_space_group_name_Hall 'P 1'
loop_
_atom_site_label
_atom_site_type_symbol
_atom_site_fract_x
_atom_site_fract_y
_atom_site_fract_z
_atom_site_occupancy
Ga1 Ga 0.2500 0.7500 0.5000 1
Ga2 Ga 0.5000 0.7500 0.2500 1
Ga3 Ga 0.2500 0.5000 0.7500 1
Ga4 Ga 0.7500 0.2500 0.5000 1
Ga5 Ga 0.5000 0.2500 0.7500 1
Ga6 Ga 0.7500 0.5000 0.2500 1
Ag1 Ag 0.0000 0.0000 0.0000 1
```

Values from the calculation:
- density of states at the Fermi level (states/eV/cell) = 4.4
- E_tot (eV/atom) = -2.562



A plane-wave DFT calculation with PBE was carried out for a geometry-optimized Ga8Ag structure.

Structure (CIF):
```
data_Ga8Ag
_chemical_formula_sum 'Ga8 Ag1'
_cell_length_a 3.2648
_cell_length_b 7.3846
_cell_length_c 7.3846
_cell_angle_alpha 87.20
_cell_angle_beta 77.23
_cell_angle_gamma 77.23
_space_group_name_H-M_alt 'P 1'
_space_group_IT_number 1
_space_group_name_Hall 'P 1'
loop_
_atom_site_label
_atom_site_type_symbol
_atom_site_fract_x
_atom_site_fract_y
_atom_site_fract_z
_atom_site_occupancy
Ga1 Ga 0.6666 0.0000 0.6668 1
Ga2 Ga 0.3334 0.0000 0.3332 1
Ga3 Ga 0.3328 0.6672 0.6672 1
Ga4 Ga 0.6666 0.6668 0.0000 1
Ga5 Ga 0.0000 0.6672 0.3328 1
Ga6 Ga 0.3334 0.3332 0.0000 1
Ga7 Ga 0.6672 0.3328 0.3328 1
Ga8 Ga 0.0000 0.3328 0.6672 1
Ag1 Ag 0.0000 0.0000 0.0000 1
```

Values from the calculation:
- density of states at the Fermi level (states/eV/cell) = 4.0
- E_tot (eV/atom) = -2.964



A plane-wave DFT calculation with PBE was carried out for a geometry-optimized Ga3Ag5 structure.

Structure (CIF):
```
data_Ga3Ag5
_chemical_formula_sum 'Ga3 Ag5'
_cell_length_a 4.6510
_cell_length_b 4.9901
_cell_length_c 7.0192
_cell_angle_alpha 110.82
_cell_angle_beta 109.35
_cell_angle_gamma 90.00
_space_group_name_H-M_alt 'P 1'
_space_group_IT_number 1
_space_group_name_Hall 'P 1'
loop_
_atom_site_label
_atom_site_type_symbol
_atom_site_fract_x
_atom_site_fract_y
_atom_site_fract_z
_atom_site_occupancy
Ga1 Ga 0.8709 0.8709 0.7418 1
Ga2 Ga 0.0000 0.5000 0.0000 1
Ga3 Ga 0.1291 0.1291 0.2582 1
Ag1 Ag 0.2565 0.7565 0.5130 1
Ag2 Ag 0.3803 0.3803 0.7605 1
Ag3 Ag 0.5000 0.0000 0.0000 1
Ag4 Ag 0.6197 0.6197 0.2395 1
Ag5 Ag 0.7435 0.2435 0.4870 1
```

Values from the calculation:
- density of states at the Fermi level (states/eV/cell) = 2.0
- E_tot (eV/atom) = -2.905



A plane-wave DFT calculation with PBE was carried out for a geometry-optimized Ga4Ag3 structure.

Structure (CIF):
```
data_Ga4Ag3
_chemical_formula_sum 'Ga4 Ag3'
_cell_length_a 2.9856
_cell_length_b 4.2647
_cell_length_c 10.7825
_cell_angle_alpha 110.49
_cell_angle_beta 100.78
_cell_angle_gamma 84.86
_space_group_name_H-M_alt 'P 1'
_space_group_IT_number 1
_space_group_name_Hall 'P 1'
loop_
_atom_site_label
_atom_site_type_symbol
_atom_site_fract_x
_atom_site_fract_y
_atom_site_fract_z
_atom_site_occupancy
Ga1 Ga 0.6982 0.2187 0.4252 1
Ga2 Ga 0.3018 0.7813 0.5748 1
Ga3 Ga 0.4326 0.9243 0.8588 1
Ga4 Ga 0.5674 0.0757 0.1412 1
Ag1 Ag 0.8690 0.3574 0.7082 1
Ag2 Ag 0.0000 0.5000 0.0000 1
Ag3 Ag 0.1310 0.6426 0.2918 1
```

Values from the calculation:
- density of states at the Fermi level (states/eV/cell) = 2.3
- E_tot (eV/atom) = -2.933



A plane-wave DFT calculation with PBE was carried out for a geometry-optimized Ga5Ag4 structure.

Structure (CIF):
```
data_Ga5Ag4
_chemical_formula_sum 'Ga10 Ag8'
_cell_length_a 5.8517
_cell_length_b 8.1232
_cell_length_c 8.1232
_cell_angle_alpha 120.00
_cell_angle_beta 90.00
_cell_angle_gamma 90.00
_space_group_name_H-M_alt 'P 1'
_space_group_IT_number 1
_space_group_name_Hall 'P 1'
loop_
_atom_site_label
_atom_site_type_symbol
_atom_site_fract_x
_atom_site_fract_y
_atom_site_fract_z
_atom_site_occupancy
Ga1 Ga 0.7500 0.6576 0.6576 1
Ga2 Ga 0.7500 0.0000 0.3424 1
Ga3 Ga 0.7500 0.3424 0.0000 1
Ga4 Ga 0.2500 0.3424 0.3424 1
Ga5 Ga 0.2500 0.0000 0.6576 1
Ga6 Ga 0.2500 0.6576 0.0000 1
Ga7 Ga 0.0000 0.6667 0.3333 1
Ga8 Ga 0.5000 0.3333 0.6667 1
Ga9 Ga 0.0000 0.3333 0.6667 1
Ga10 Ga 0.5000 0.6667 0.3333 1
Ag1 Ag 0.0000 0.0000 0.0000 1
Ag2 Ag 0.5000 0.0000 0.0000 1
Ag3 Ag 0.7500 0.3235 0.3235 1
Ag4 Ag 0.7500 0.0000 0.6765 1
Ag5 Ag 0.7500 0.6765 0.0000 1
Ag6 Ag 0.2500 0.6765 0.6765 1
Ag7 Ag 0.2500 0.0000 0.3235 1
Ag8 Ag 0.2500 0.3235 0.0000 1
```

Values from the calculation:
- density of states at the Fermi level (states/eV/cell) = 6.2
- E_tot (eV/atom) = -2.887



A plane-wave DFT calculation with PBE was carried out for a geometry-optimized Ga7Ag5 structure.

Structure (CIF):
```
data_Ga7Ag5
_chemical_formula_sum 'Ga7 Ag5'
_cell_length_a 2.9748
_cell_length_b 6.8510
_cell_length_c 13.1614
_cell_angle_alpha 116.79
_cell_angle_beta 90.00
_cell_angle_gamma 102.54
_space_group_name_H-M_alt 'P 1'
_space_group_IT_number 1
_space_group_name_Hall 'P 1'
loop_
_atom_site_label
_atom_site_type_symbol
_atom_site_fract_x
_atom_site_fract_y
_atom_site_fract_z
_atom_site_occupancy
Ga1 Ga 0.1965 0.3929 0.6389 1
Ga2 Ga 0.8035 0.6071 0.3611 1
Ga3 Ga 0.9503 0.9007 0.2422 1
Ga4 Ga 0.0497 0.0993 0.7578 1
Ga5 Ga 0.6475 0.2949 0.9624 1
Ga6 Ga 0.5000 0.0000 0.5000 1
Ga7 Ga 0.3525 0.7051 0.0376 1
Ag1 Ag 0.1542 0.3084 0.4105 1
Ag2 Ag 0.8458 0.6916 0.5895 1
Ag3 Ag 0.2379 0.4757 0.1688 1
Ag4 Ag 0.7621 0.5243 0.8312 1
Ag5 Ag 0.0000 0.0000 0.0000 1
```

Values from the calculation:
- density of states at the Fermi level (states/eV/cell) = 3.0
- E_tot (eV/atom) = -2.895



Number 1: formation energy from the elements 44 meV/atom. Number 2: formation energy from the elements -22 meV/atom. Number 3: formation energy from the elements 440 meV/atom. Number 4: formation energy from the elements 44 meV/atom. Number 5: formation energy from the elements 12 meV/atom. Number 6: formation energy from the elements 19 meV/atom. Number 7: formation energy from the elements 62 meV/atom. Number 8: formation energy from the elements 59 meV/atom.